Material: PrNdGd
Method: DFT, PBE
State: optimized geometry

Summary:
The symmetry is No. 216. The value obtained for the energy of formation is 2.19 eV/f.u.

POSCAR file:
```
PrNdGd
1.0
0.000 3.924 3.924
3.924 0.000 3.924
3.924 3.924 0.000
Pr Nd Gd
1 1 1
Cartesian
0.000 0.000 0.000
1.962 1.962 1.962
5.886 5.886 5.886
```